[1]
Compound: Sr3GaP
Source: Alexandria via LeMat-Bulk
Functional: PBE
Structure: optimized geometry

a = 5.835 Å, b = 5.835 Å, c = 5.835 Å
α = 90.00°, β = 90.00°, γ = 90.00°
Positions (direct):
Sr (0.000, 0.500, 0.000)
Sr (0.000, 0.000, 0.500)
Sr (0.500, 0.000, 0.000)
Ga (0.500, 0.500, 0.500)
P (0.000, 0.000, 0.000)

Calculated values
Energy above the most stable polymorph in this dataset ... 0 meV per atom
Density of states at the Fermi level ... 0.994 states/eV per atom
Theoretical density ... 3.04 g/cm³
Formation energy ... -0.470 eV per atom
Symmetry ... No. 221
Magnetization ... 0.0 μB per cell



[2]
Compound: Sr2GaP2
Source: Alexandria via LeMat-Bulk
Functional: PBE
Structure: optimized geometry

a = 7.573 Å, b = 7.573 Å, c = 4.374 Å
α = 90.00°, β = 90.00°, γ = 90.00°
Positions (direct):
Sr (0.184, 0.684, 0.500)
Sr (0.684, 0.816, 0.500)
Sr (0.816, 0.316, 0.500)
Sr (0.316, 0.184, 0.500)
Ga (0.000, 0.000, 0.000)
Ga (0.500, 0.500, 0.000)
P (0.395, 0.895, 0.000)
P (0.895, 0.605, 0.000)
P (0.605, 0.105, 0.000)
P (0.105, 0.395, 0.000)

Calculated values
Energy above the most stable polymorph in this dataset ... 0 meV per atom
Density of states at the Fermi level ... 0.207 states/eV per atom
Theoretical density ... 4.06 g/cm³
Formation energy ... -0.767 eV per atom
Symmetry ... No. 127
Magnetization ... 0.0 μB per cell



[3]
Compound: SrGaP
Source: Alexandria via LeMat-Bulk
Functional: PBE
Structure: optimized geometry

a = 5.242 Å, b = 4.063 Å, c = 4.063 Å
α = 120.00°, β = 90.00°, γ = 90.00°
Positions (direct):
Sr (0.646, 0.667, 0.333)
Ga (0.078, 0.000, 0.000)
P (0.276, 0.333, 0.667)

Calculated values
Energy above the most stable polymorph in this dataset ... 114 meV per atom
Density of states at the Fermi level ... 0.035 states/eV per atom
Theoretical density ... 4.17 g/cm³
Formation energy ... -0.686 eV per atom
Symmetry ... No. 156
Magnetization ... 0.0 μB per cell



[4]
Compound: SrGa2P
Source: Alexandria via LeMat-Bulk
Functional: PBE
Structure: optimized geometry

a = 7.916 Å, b = 7.916 Å, c = 6.364 Å
α = 51.54°, β = 51.54°, γ = 90.00°
Positions (direct):
Sr (0.000, 0.000, 0.000)
Sr (0.750, 0.250, 0.500)
Ga (0.562, 0.125, 0.250)
Ga (0.188, 0.625, 0.250)
Ga (0.375, 0.438, 0.750)
Ga (0.875, 0.812, 0.750)
P (0.500, 0.500, 0.000)
P (0.250, 0.750, 0.500)

Calculated values
Density of states at the Fermi level ... 0.334 states/eV per atom
Theoretical density ... 4.52 g/cm³
Formation energy ... -0.385 eV per atom
Symmetry ... No. 122
Magnetization ... 0.0 μB per cell



[5]
Compound: SrGaP2
Source: Alexandria via LeMat-Bulk
Functional: PBE
Structure: optimized geometry

a = 7.162 Å, b = 7.162 Å, c = 6.262 Å
α = 55.12°, β = 55.12°, γ = 90.00°
Positions (direct):
Sr (0.000, 0.000, 0.000)
Sr (0.750, 0.250, 0.500)
Ga (0.500, 0.500, 0.000)
Ga (0.250, 0.750, 0.500)
P (0.549, 0.125, 0.250)
P (0.201, 0.625, 0.250)
P (0.375, 0.451, 0.750)
P (0.875, 0.799, 0.750)

Calculated values
Density of states at the Fermi level ... 0.215 states/eV per atom
Theoretical density ... 3.85 g/cm³
Formation energy ... -0.523 eV per atom
Symmetry ... No. 122
Magnetization ... 0.0 μB per cell



[6]
Compound: Sr3Ga2P4
Source: Alexandria via LeMat-Bulk
Functional: PBE
Structure: optimized geometry

a = 7.815 Å, b = 8.158 Å, c = 8.713 Å
α = 117.91°, β = 92.43°, γ = 90.00°
Positions (direct):
Sr (0.124, 0.774, 0.744)
Sr (0.376, 0.030, 0.256)
Sr (0.876, 0.226, 0.256)
Sr (0.624, 0.970, 0.744)
Sr (0.750, 0.524, 0.000)
Sr (0.250, 0.476, 0.000)
Ga (0.531, 0.565, 0.339)
Ga (0.969, 0.226, 0.661)
Ga (0.469, 0.435, 0.661)
Ga (0.031, 0.774, 0.339)
P (0.483, 0.722, 0.897)
P (0.017, 0.825, 0.103)
P (0.517, 0.278, 0.103)
P (0.983, 0.175, 0.897)
P (0.824, 0.656, 0.448)
P (0.676, 0.208, 0.552)
P (0.176, 0.344, 0.552)
P (0.324, 0.792, 0.448)

Calculated values
Energy above the most stable polymorph in this dataset ... 137 meV per atom
Theoretical density ... 3.56 g/cm³
Formation energy ... -0.739 eV per atom
Symmetry ... No. 15
Magnetization ... 0.0 μB per cell



Which of these has the lowest theoretical density?
Sr3GaP



What is the magnetization in the sixth record?
0.0 μB per cell



Among the records above, which one has the lowest theoretical density?
Sr3GaP